LiV2OF5: relaxed, PBE+U.

Its space-group type is P1.

```
9
Lattice="-2.783 0.721 -4.272 3.841 -3.480 -0.125 -2.412 -2.638 4.204" Properties=species:S:1:pos:R:3 pbc="T T T"
V -1.414 -1.478 0.534
V -0.677 -4.722 2.703
O -1.635 -0.346 -0.913
F 0.542 -1.859 0.210
F -2.050 -3.114 -0.521
F 0.547 -4.921 1.073
F 0.122 -2.647 -2.599
F -1.279 -2.884 2.045
Li -0.846 -0.912 -2.663
```


LiV2OF5: relaxed, PBE+U.

Its space-group type is P1.

```
27
Lattice="-3.819 -1.672 1.916 4.605 -5.210 5.246 2.519 2.868 7.846" Properties=species:S:1:pos:R:3 pbc="T T T"
V -2.126 -3.462 3.807
V 0.169 -4.082 8.133
V 3.421 -5.059 8.723
V 1.131 -4.323 4.527
V -2.086 0.213 7.106
V 1.178 -0.472 7.981
F 3.756 -4.370 6.842
F -1.259 -0.557 5.401
F 2.419 0.952 8.645
F 0.369 -2.188 7.301
F 1.366 0.046 5.994
F 2.761 -3.106 11.589
F 2.918 -1.627 7.736
F 4.533 -3.520 9.465
F 1.158 -1.258 9.893
F 3.876 -0.834 10.443
F 2.170 -2.722 5.236
F 0.545 -0.995 3.351
F -2.075 -1.586 2.929
F 0.908 -4.969 6.458
F 5.399 -2.481 12.063
Li -1.267 1.179 9.739
Li 0.424 -1.653 5.327
Li 2.812 -2.407 9.659
O 1.875 -4.048 8.872
O -0.466 -3.368 4.617
O -0.484 0.337 8.049
```


LiV4OF11: relaxed, PBE+U.

Its space-group type is C2.

```
34
Lattice="5.556 -0.006 0.006 3.119 4.598 0.006 3.528 1.867 17.016" Properties=species:S:1:pos:R:3 pbc="T T T"
Li 6.285 3.641 2.499
Li 5.658 3.309 14.529
V 6.077 3.671 11.714
V 8.858 5.142 9.580
V 9.115 5.137 15.958
V 2.830 1.810 1.070
V 8.819 4.867 3.311
V 3.220 1.903 13.717
V 5.750 3.499 5.314
V 2.971 2.025 7.447
F 4.961 5.384 8.514
F 2.836 0.800 5.917
F 6.887 2.954 6.843
F 6.690 1.698 2.068
F 9.946 4.564 11.110
F 5.019 2.340 12.883
F 5.780 4.420 0.579
F 7.037 1.882 14.959
F 7.445 3.625 4.145
F 8.686 3.250 8.976
F 5.298 4.165 16.449
F 9.055 3.892 14.491
F 4.631 1.104 8.051
F 7.754 2.681 12.295
F 7.196 4.910 10.650
F 2.874 3.712 1.633
F 7.517 6.170 15.395
F 4.097 3.269 6.377
F 3.893 1.159 2.536
F 4.485 2.018 0.006
F 5.888 2.426 10.185
F 5.626 1.555 4.732
O 6.172 4.727 13.317
O 4.823 4.013 3.710
```


Number 1: ΔE to the lowest computed polymorph 20.0 meV/atom. Number 2: ΔE to the lowest computed polymorph 12.1 meV/atom. Number 3: ΔE to the lowest computed polymorph 14.0 meV/atom.